Pr3Si3Ni | PBE | relaxed

The structure belongs to space group Imm2 (No. 44); the cell edges are 4.036, 4.344 and 18.160 Å and the angles 90.00°, 90.00° and 90.00°. The distinct sites, in fractional coordinates, are Pr at (0.000, 0.000, 0.000), Pr at (0.000, 0.000, 0.365), Pr at (0.000, 0.500, 0.681), Si at (0.000, 0.000, 0.548), Si at (0.000, 0.000, 0.820), Si at (0.000, 0.500, 0.239) and Ni at (0.000, 0.500, 0.114).

The calculation puts the total energy at -5.9094 eV per atom. The value obtained for the energy above the most stable polymorph in this dataset is 0 meV per atom.